Entry 1:
{"formula": "NiMoO4", "functional": "PBE with a Hubbard U", "state": "optimized geometry", "dft_energy_ev_per_atom": -6.36, "sg": "C2/m (12)", "lattice": [[6.590, 0.000, 0.001], [0.594, 6.563, 0.001], [2.345, 2.142, 7.101]], "species": ["O", "O", "O", "O", "O", "O", "O", "O", "O", "O", "O", "O", "O", "O", "O", "O", "Ni", "Ni", "Ni", "Ni", "Mo", "Mo", "Mo", "Mo"], "frac_coords": [[0.681, 0.007, 0.078], [0.653, 0.351, 0.761], [0.994, 0.682, 0.579], [0.993, 0.319, 0.922], [0.682, 0.994, 0.579], [0.651, 0.651, 0.437], [0.351, 0.653, 0.761], [0.649, 0.347, 0.239], [0.007, 0.681, 0.078], [0.652, 0.652, 0.914], [0.348, 0.348, 0.086], [0.349, 0.349, 0.563], [0.006, 0.318, 0.421], [0.347, 0.649, 0.239], [0.318, 0.006, 0.421], [0.319, 0.993, 0.922], [0.686, 0.314, 0.500], [0.686, 0.686, 0.157], [0.314, 0.314, 0.843], [0.314, 0.686, 0.500], [0.283, 0.283, 0.362], [0.717, 0.717, 0.638], [0.284, 0.716, 0.000], [0.716, 0.284, 0.000]]}

Entry 2:
{"formula": "NiMoO4", "functional": "PBE with a Hubbard U", "state": "optimized geometry", "dft_energy_ev_per_atom": -6.34, "sg": "P2_1/c (14)", "lattice": [[5.421, -0.050, 0.000], [-0.922, 6.788, 0.000], [0.000, 0.000, 8.689]], "species": ["Ni", "Ni", "Ni", "Ni", "O", "O", "O", "O", "O", "O", "O", "O", "O", "O", "O", "O", "O", "O", "O", "O", "Mo", "Mo", "Mo", "Mo"], "frac_coords": [[0.225, 0.400, 0.448], [0.725, 0.900, 0.052], [0.775, 0.600, 0.552], [0.275, 0.100, 0.948], [0.072, 0.966, 0.148], [0.572, 0.466, 0.352], [0.531, 0.851, 0.253], [0.469, 0.149, 0.747], [0.969, 0.649, 0.753], [0.280, 0.109, 0.444], [0.408, 0.821, 0.921], [0.928, 0.034, 0.852], [0.031, 0.351, 0.247], [0.092, 0.679, 0.421], [0.908, 0.321, 0.579], [0.780, 0.609, 0.056], [0.220, 0.391, 0.944], [0.428, 0.534, 0.648], [0.592, 0.179, 0.079], [0.720, 0.891, 0.556], [0.739, 0.401, 0.181], [0.261, 0.599, 0.819], [0.239, 0.901, 0.319], [0.761, 0.099, 0.681]]}

Entry 3:
{"formula": "NiMo2O", "functional": "PBE with a Hubbard U", "state": "optimized geometry", "dft_energy_ev_per_atom": -4.73, "sg": "I-42d (122)", "lattice": [[6.230, 0.000, 0.000], [0.000, 6.230, 0.000], [3.115, 3.115, 3.317]], "species": ["Mo", "Mo", "Mo", "Mo", "O", "O", "Ni", "Ni"], "frac_coords": [[0.875, 0.793, 0.750], [0.375, 0.457, 0.750], [0.207, 0.625, 0.250], [0.543, 0.125, 0.250], [0.500, 0.500, 0.000], [0.250, 0.750, 0.500], [0.000, 0.000, 0.000], [0.750, 0.250, 0.500]]}

Entry 4:
{"formula": "NiMoP2O", "functional": "PBE with a Hubbard U", "state": "optimized geometry", "dft_energy_ev_per_atom": -4.55, "sg": "P4/mmm (123)", "lattice": [[-1.364, 4.375, -0.021], [-4.137, -1.283, 1.498], [1.085, 0.354, 3.299]], "species": ["Ni", "O", "P", "P", "Mo"], "frac_coords": [[0.000, 0.000, 0.000], [0.000, 0.000, 0.500], [0.000, 0.500, 0.000], [0.500, 0.000, 0.000], [0.500, 0.500, 0.500]]}

Please write out number 2 again, unchanged.
{"formula": "NiMoO4", "functional": "PBE with a Hubbard U", "state": "optimized geometry", "dft_energy_ev_per_atom": -6.34, "sg": "P2_1/c (14)", "lattice": [[5.421, -0.050, 0.000], [-0.922, 6.788, 0.000], [0.000, 0.000, 8.689]], "species": ["Ni", "Ni", "Ni", "Ni", "O", "O", "O", "O", "O", "O", "O", "O", "O", "O", "O", "O", "O", "O", "O", "O", "Mo", "Mo", "Mo", "Mo"], "frac_coords": [[0.225, 0.400, 0.448], [0.725, 0.900, 0.052], [0.775, 0.600, 0.552], [0.275, 0.100, 0.948], [0.072, 0.966, 0.148], [0.572, 0.466, 0.352], [0.531, 0.851, 0.253], [0.469, 0.149, 0.747], [0.969, 0.649, 0.753], [0.280, 0.109, 0.444], [0.408, 0.821, 0.921], [0.928, 0.034, 0.852], [0.031, 0.351, 0.247], [0.092, 0.679, 0.421], [0.908, 0.321, 0.579], [0.780, 0.609, 0.056], [0.220, 0.391, 0.944], [0.428, 0.534, 0.648], [0.592, 0.179, 0.079], [0.720, 0.891, 0.556], [0.739, 0.401, 0.181], [0.261, 0.599, 0.819], [0.239, 0.901, 0.319], [0.761, 0.099, 0.681]]}